Compound: SiWN2O
Source: Alexandria via LeMat-Bulk
Functional: PBE with a Hubbard U
Structure: optimized geometry

The calculation puts the density of states at the Fermi level at 1.5 states/eV/f.u. The energy is -6.726 eV/atom. The total magnetization is 0.001 μB per atom.

The structure belongs to space group P4/mmm (No. 123); the cell edges are 4.019, 4.019 and 3.878 Å and the angles 90.00°, 90.00° and 90.00°. Symmetry generates all atoms from Si at (0.000, 0.000, 0.000), W at (0.500, 0.500, 0.500), N at (0.000, 0.500, 0.500) and O at (0.500, 0.500, 0.000).